This record from the Alexandria database describes a geometry-optimized VGeAu structure. The functional is GGA-PBE.

Unit cell a=3.227 b=3.227 c=9.150 alpha=90.00 beta=90.00 gamma=90.00
Element x y z (fractional)
V 0.000 0.500 0.569
V 0.500 0.000 0.431
Ge 0.500 0.000 0.715
Ge 0.000 0.500 0.285
Au 0.000 0.500 0.894
Au 0.500 0.000 0.106

Results
size of the total moment	0.00	μB/f.u.
density of states at the Fermi level	0.705	states/eV/atom
calculated formation energy	-26	meV/atom